# TlSn2Pd8

An optimized crystal structure of TlSn2Pd8 (PBE, Alexandria).

The structure belongs to space group C2/m (No. 12); the cell edges are 14.6952, 4.1317 and 6.5249 Å and the angles 90.00°, 108.20° and 90.00°. The asymmetric unit holds Tl at (0.0000, 0.0000, 0.0000), Sn at (0.2096, 0.5000, 0.6675), Pd at (0.0357, 0.5000, 0.7300), Pd at (0.0931, 0.0000, 0.4652), Pd at (0.1562, 0.5000, 0.2265) and Pd at (0.1760, 0.0000, 0.9235).

The calculation puts the formation energy at -0.37 eV per atom. The calculation puts the offset from the most stable computed form at 16.9 meV per atom. The energy is -112.0 eV for the cell shown.